No. 1
PBE MgZnOs2, optimized geometry; formation enthalpy at 0 K = 0.31 eV/atom; E_tot = -6.0185 eV per atom
1.0
1.4602 -2.2938 0.0000
1.4602 2.2938 0.0000
0.0000 0.0000 8.8909
Mg Zn Os
1 1 2
Cartesian
0.0000 0.0000 0.0000
0.0000 0.0000 4.4454
1.4602 0.0000 2.2719
1.4602 0.0000 6.6190

---

No. 2
PBE MgZnOs, optimized geometry; distance to the lowest polymorph of the same formula = 35 meV per atom; formation enthalpy at 0 K = 0.15 eV/atom; E_tot = -4.5448 eV per atom
1.0
-1.3328 2.0829 4.1039
1.3328 -2.0829 4.1039
1.3328 2.0829 -4.1039
Mg Zn Os
1 1 1
Cartesian
0.0000 0.0000 0.0000
0.0000 0.0000 2.6626
0.0000 0.0000 5.4673

---

No. 3
PBE MgZnOs, optimized geometry; distance to the lowest polymorph of the same formula = 0 meV per atom; formation enthalpy at 0 K = 0.12 eV/atom; E_tot = -4.5794 eV per atom
1.0
4.6561 -2.2022 0.0000
4.6561 2.2022 0.0000
-2.9481 0.0000 4.4129
Mg Zn Os
2 2 2
Cartesian
1.2701 0.0000 0.5301
5.0940 0.0000 3.8828
-0.3170 0.0000 2.6450
6.6811 0.0000 1.7679
2.3733 0.0000 3.3139
3.9908 0.0000 1.0990

---

No. 4
PBE MgZnOs2, optimized geometry; formation enthalpy at 0 K = 0.79 eV/atom; E_tot = -5.5389 eV per atom
1.0
-3.7783 3.7783 2.3787
3.7783 -3.7783 2.3787
3.7783 3.7783 -2.3787
Mg Zn Os
2 2 4
Cartesian
0.0000 0.0000 0.0000
0.0000 3.7783 1.1893
3.7783 0.0000 1.1893
0.0000 0.0000 2.3787
1.8892 -1.4589 1.7840
2.3194 1.8892 0.5947
1.8892 5.2372 -0.5947
1.4589 1.8892 2.9733

---

Which of these has the lowest formation enthalpy at 0 K? number 3

---

What is the formula in the third record? MgZnOs

---

Which of these has the lowest E_tot? number 1

---

Which of these has the highest formation enthalpy at 0 K? number 4